# 1
First-principles (PBE-GGA) data for Pr2Mg2In after structural relaxation, as listed in Alexandria.

M_tot	0.00	Bohr magnetons per cell
calculated formation energy	-0.227	eV/atom
raw total energy	-3.32	eV per atom
space group	C2/m (12)
DOS at the Fermi energy	0.835	states/eV per atom
offset from the most stable computed form	0.000	eV per atom

```
Pr2Mg2In
1.0
5.217 0.000 0.000
2.608 5.668 -1.032
2.608 -1.045 9.763
Pr Mg In
4 4 2
direct
0.703 0.244 0.351 Pr
0.891 0.282 0.937 Pr
0.297 0.756 0.649 Pr
0.109 0.718 0.063 Pr
0.051 0.314 0.583 Mg
0.656 0.830 0.858 Mg
0.949 0.686 0.417 Mg
0.344 0.170 0.142 Mg
0.552 0.195 0.701 In
0.448 0.805 0.299 In
```

# 2
First-principles (PBE-GGA) data for LaAgRu2Cl after structural relaxation, as listed in Alexandria.

M_tot	1.88	Bohr magnetons per cell
ΔE_f (raw)	7.04	eV/f.u.
raw total energy	-4.23	eV per atom
space group	P4/mmm (123)
DOS at the Fermi energy	1.240	states/eV per atom

```
LaAgRu2Cl
1.0
-2.486 2.381 3.345
2.115 -3.858 4.319
3.761 2.889 0.739
Ru Cl Ag La
2 1 1 1
direct
0.000 0.000 0.500 Ru
0.500 0.000 0.000 Ru
0.500 0.500 0.500 Cl
0.000 0.500 0.000 Ag
0.000 0.000 0.000 La
```

# 3
First-principles (PBE-GGA) data for DyThCuIr after structural relaxation, as listed in Alexandria.

M_tot	0.00	Bohr magnetons per cell
calculated formation energy	-0.641	eV/atom
raw total energy	-6.89	eV per atom
space group	Amm2 (38)
DOS at the Fermi energy	0.760	states/eV per atom
offset from the most stable computed form	0.000	eV per atom

```
DyThCuIr
1.0
-1.523 -2.347 -2.707
3.849 -1.085 -1.224
0.739 -3.043 5.022
Dy Th Cu Ir
1 1 1 1
direct
0.142 0.000 0.284 Dy
0.868 0.500 0.735 Th
0.580 0.500 0.160 Cu
0.410 0.000 0.821 Ir
```